Here is crystalline Th3SiB2Ir9 at its relaxed geometry from the Alexandria database. Energies are from PBE-GGA.

Cell: 5.8428 5.8428 8.6970 Å, 90.00 90.00 120.00°
Space group P-3m1 (No. 164)
Unique sites:
Th  0.0000  0.0000  0.0000
Th  0.3333  0.6667  0.6214
Si  0.0000  0.0000  0.5000
B  0.3333  0.6667  0.1510
Ir  0.0000  0.5000  0.0000
Ir  0.1629  0.3258  0.2902

Output
Magnetic moment = 0.000 μB per cell
Energy relative to the elements, uncorrected = -0.65 eV/atom
Calculated volume = 257.1 Å³/f.u.